GGA+U NaLi15V16O48, relaxed; total DFT energy (no corrections) = -6.82 eV/atom; space group = No. 5
1.0
-4.764 -4.845 -5.517
-0.945 -2.409 9.874
-8.829 9.020 -0.297
Li O V Na
15 48 16 1
direct
0.227 0.248 0.375
0.331 0.764 0.607
0.979 0.752 0.625
0.018 0.495 0.752
0.776 0.000 0.000
0.067 0.229 0.890
0.523 0.505 0.248
0.838 0.771 0.110
0.678 0.517 0.739
0.274 0.000 0.500
0.729 0.253 0.879
0.421 0.000 0.000
0.476 0.747 0.121
0.162 0.483 0.261
0.567 0.236 0.393
0.238 0.187 0.762
0.750 0.353 0.715
0.242 0.650 0.821
0.078 0.335 0.675
0.746 0.582 0.572
0.013 0.834 0.465
0.592 0.350 0.179
0.829 0.081 0.845
0.430 0.443 0.638
0.256 0.060 0.114
0.740 0.191 0.260
0.996 0.394 0.909
0.097 0.598 0.585
0.986 0.094 0.316
0.942 0.432 0.134
0.332 0.085 0.339
0.667 0.935 0.377
0.731 0.065 0.623
0.179 0.166 0.535
0.513 0.689 0.508
0.549 0.809 0.740
0.748 0.919 0.155
0.164 0.418 0.428
0.987 0.557 0.362
0.660 0.158 0.036
0.335 0.828 0.446
0.400 0.898 0.191
0.502 0.102 0.809
0.510 0.568 0.866
0.025 0.684 0.008
0.824 0.311 0.492
0.742 0.665 0.325
0.684 0.427 0.944
0.502 0.842 0.964
0.602 0.606 0.091
0.858 0.837 0.952
0.892 0.906 0.684
0.052 0.813 0.238
0.253 0.335 0.214
0.247 0.915 0.661
0.021 0.163 0.048
0.256 0.573 0.056
0.341 0.316 0.992
0.917 0.665 0.786
0.507 0.172 0.554
0.196 0.940 0.886
0.498 0.402 0.415
0.398 0.647 0.285
0.706 0.229 0.603
0.019 0.473 0.474
0.785 0.033 0.272
0.949 0.718 0.349
0.546 0.527 0.526
0.220 0.222 0.098
0.448 0.717 0.852
0.231 0.282 0.651
0.296 0.036 0.775
0.053 0.519 0.021
0.752 0.967 0.728
0.998 0.778 0.902
0.534 0.481 0.979
0.732 0.283 0.148
0.260 0.964 0.225
0.478 0.771 0.397
0.903 0.000 0.500